# 1
## Ti2BeCo (PBE-GGA)

Data for a geometry-optimized Ti2BeCo structure.

abc: 2.9843 2.9843 5.7762
angles: 90.00 90.00 90.00
Last column: nearest neighbours and their distance in Å.
Sites, in units of the cell vectors:
Co  0.5000  0.5000  0.5000  8 Ti 2.57
Ti  0.0000  0.0000  0.7529  4 Be 2.55, 4 Co 2.57
Be  0.5000  0.5000  0.0000  8 Ti 2.55
Ti  0.0000  0.0000  0.2471  4 Be 2.55, 4 Co 2.57

Calculated values
final energy: -27.68 eV/cell
SG: P4/mmm, No. 123
DFT formation energy: -25.6 kJ per mole of atoms

***

# 2
## SrLiPrIr (PBE-GGA)

Data for a geometry-optimized SrLiPrIr structure.

abc: 5.1767 5.1767 5.1767
angles: 60.00 60.00 60.00
Last column: nearest neighbours and their distance in Å.
Sites, in units of the cell vectors:
Pr  0.7500  0.7500  0.7500  4 Li 3.17, 4 Ir 3.17
Li  0.0000  0.0000  0.0000  4 Pr 3.17, 4 Sr 3.17
Sr  0.2500  0.2500  0.2500  4 Ir 3.17, 4 Li 3.17
Ir  0.5000  0.5000  0.5000  4 Sr 3.17, 4 Pr 3.17

Calculated values
final energy: -18.05 eV/cell
SG: F-43m, No. 216
DFT formation energy: -19.6 kJ per mole of atoms

***

# 3
## ScAgRu2 (PBE-GGA)

Data for a geometry-optimized ScAgRu2 structure.

abc: 4.8516 4.8516 4.9016
angles: 78.35 78.35 35.10
Last column: nearest neighbours and their distance in Å.
Sites, in units of the cell vectors:
Ag  0.2500  0.2500  0.2500  6 Ru 2.83-2.84, 4 Sc 2.85, 2 Ag 2.93
Ru  0.4949  0.4949  0.5109  3 Sc 2.74-2.85, 6 Ru 2.78-2.93, 3 Ag 2.83-2.84
Sc  0.7500  0.7500  0.7500  6 Ru 2.74-2.85, 4 Ag 2.85, 2 Sc 2.93
Ru  0.0051  0.0051  0.9891  3 Sc 2.74-2.85, 6 Ru 2.78-2.93, 3 Ag 2.83-2.84

Calculated values
final energy: -27.25 eV/cell
SG: C2/m, No. 12
DFT formation energy: 11.7 kJ per mole of atoms
polymorph energy (0 for the lowest one): 0.37 eV/f.u.

***

# 4
## RbYSO (PBE-GGA)

Data for a geometry-optimized RbYSO structure.

abc: 3.7498 3.7498 7.7053
angles: 90.07 104.06 120.00
Last column: nearest neighbours and their distance in Å.
Sites, in units of the cell vectors:
O  0.5268  0.1608  0.7037  3 Y 2.37
Y  0.2810  0.5380  0.8349  3 O 2.37
S  0.0997  0.9480  0.0627  3 Y 2.74
Rb  0.9704  0.3840  0.3683  3 S 3.13, 3 O 3.29-3.30, 1 Y 3.45

Calculated values
final energy: -25.10 eV/cell
SG: Cm, No. 8
ΔE_f (raw): -2145 meV/atom

***

# 5
## Pu3Sc (PBE-GGA)

Data for a geometry-optimized Pu3Sc structure.

abc: 3.0713 5.8666 6.2119
angles: 118.18 104.31 90.00
Last column: nearest neighbours and their distance in Å.
Sites, in units of the cell vectors:
Pu  0.5000  0.5462  0.0000  4 Pu 2.79-3.07
Sc  0.0000  0.0510  0.0000  2 Sc 3.07, 10 Pu 3.16-3.34
Pu  0.7295  0.0142  0.4590  3 Pu 2.79-3.07
Pu  0.2705  0.5552  0.5410  3 Pu 2.79-3.07

Calculated values
final energy: -48.53 eV/cell
SG: Imm2, No. 44
DFT formation energy: 19.3 kJ per mole of atoms
polymorph energy (0 for the lowest one): 0.00 eV/f.u.

***

# 6
## MnVTc (PBE-GGA)

Data for a geometry-optimized MnVTc structure.

abc: 2.9479 2.9479 8.8895
angles: 90.00 90.00 90.00
Last column: nearest neighbours and their distance in Å.
Sites, in units of the cell vectors:
V  0.0000  0.0000  0.8443  4 Mn 2.49, 4 Tc 2.57
V  0.5000  0.5000  0.3443  4 Mn 2.49, 4 Tc 2.57
Tc  0.5000  0.5000  0.0143  4 V 2.57, 5 Mn 2.61-2.88
Mn  0.5000  0.5000  0.6908  4 V 2.49, 4 Tc 2.61
Tc  0.0000  0.0000  0.5143  4 V 2.57, 5 Mn 2.61-2.88
Mn  0.0000  0.0000  0.1908  4 V 2.49, 4 Tc 2.61

Calculated values
final energy: -57.98 eV/cell
SG: I4mm, No. 107
DFT formation energy: -10.9 kJ per mole of atoms
polymorph energy (0 for the lowest one): 0.18 eV/f.u.

***

# 7
## PIrAu (PBE-GGA)

Data for a geometry-optimized PIrAu structure.

abc: 5.9895 6.6561 6.6561
angles: 155.06 153.76 37.50
Last column: nearest neighbours and their distance in Å.
Sites, in units of the cell vectors:
Au  0.1554  0.9951  0.1604  2 P 2.77, 4 Au 2.87-2.94, 4 Ir 3.01-3.02
Ir  0.2784  0.3060  0.9724  4 P 2.40-2.41
P  0.5662  0.6989  0.8672  4 Ir 2.40-2.41

Calculated values
final energy: -17.56 eV/cell
SG: Cm, No. 8
DFT formation energy: -0.4 kJ per mole of atoms
polymorph energy (0 for the lowest one): 0.45 eV/f.u.

***

# 8
## La2NbInN (PBE-GGA)

Data for a geometry-optimized La2NbInN structure.

abc: 5.2855 5.2855 4.2205
angles: 90.00 90.00 90.00
Last column: nearest neighbours and their distance in Å.
Sites, in units of the cell vectors:
Nb  0.0000  0.0000  0.5000  2 N 2.11
La  0.5000  0.0000  0.0000  2 N 2.64
In  0.5000  0.5000  0.5000  8 La 3.38, 4 Nb 3.74
La  0.0000  0.5000  0.0000  2 N 2.64
N  0.0000  0.0000  0.0000  2 Nb 2.11

Calculated values
final energy: -34.19 eV/cell
SG: P4/mmm, No. 123
ΔE_f (raw): -641 meV/atom

***

# 9
## Sr6SN2Cl3 (PBE-GGA)

Data for a geometry-optimized Sr6SN2Cl3 structure.

abc: 7.0043 7.0043 7.4349
angles: 99.10 99.10 119.97
Last column: nearest neighbours and their distance in Å.
Sites, in units of the cell vectors:
Sr  0.5691  0.9324  0.7979  2 N 2.65, 1 S 2.92
S  0.0000  0.0000  0.0000  6 Sr 2.91-2.92
Sr  0.4309  0.0676  0.2021  2 N 2.65, 1 S 2.92
Sr  0.9324  0.5691  0.7979  2 N 2.65, 1 S 2.92
Sr  0.7049  0.7049  0.2013  2 N 2.66, 1 S 2.91
N  0.6671  0.3329  0.0000  6 Sr 2.65-2.66
Sr  0.0676  0.4309  0.2021  2 N 2.65, 1 S 2.92
Cl  0.5000  0.5000  0.5000  6 Sr 3.00-3.22
Cl  0.8394  0.1606  0.5000  6 Sr 3.03-3.23
Cl  0.1606  0.8394  0.5000  6 Sr 3.03-3.23
Sr  0.2951  0.2951  0.7987  2 N 2.66, 1 S 2.91
N  0.3329  0.6671  0.0000  6 Sr 2.65-2.66

Calculated values
final energy: -55.19 eV/cell
SG: C2/m, No. 12
ΔE_f (raw): -1565 meV/atom

***

# 10
## NaLa2I6 (PBE-GGA)

Data for a geometry-optimized NaLa2I6 structure.

abc: 4.4473 9.7256 10.4273
angles: 104.54 102.31 90.00
Last column: nearest neighbours and their distance in Å.
Sites, in units of the cell vectors:
La  0.1654  0.3310  0.3308  6 I 3.12-3.28
I  0.0072  0.2415  0.0144  1 La 3.12, 2 Na 3.21
I  0.9928  0.7585  0.9856  1 La 3.12, 2 Na 3.21
Na  0.5000  0.0000  0.0000  6 I 3.21-3.36
La  0.8346  0.6690  0.6692  6 I 3.12-3.28
I  0.3319  0.4201  0.6638  3 La 3.28
I  0.3292  0.9048  0.6584  2 La 3.22, 1 Na 3.36
I  0.6708  0.0952  0.3416  2 La 3.22, 1 Na 3.36
I  0.6681  0.5799  0.3362  3 La 3.28

Calculated values
final energy: -32.98 eV/cell
SG: C2/m, No. 12
ΔE_f (raw): -1390 meV/atom
polymorph energy (0 for the lowest one): 0.00 eV/f.u.

***

# 11
## TbMgCu (PBE-GGA)

Data for a geometry-optimized TbMgCu structure.

abc: 4.6617 4.6617 4.6617
angles: 60.00 60.00 60.00
Last column: nearest neighbours and their distance in Å.
Sites, in units of the cell vectors:
Cu  0.2500  0.2500  0.2500  4 Tb 2.85, 4 Mg 2.85
Mg  0.5000  0.5000  0.5000  4 Cu 2.85
Tb  0.0000  0.0000  0.0000  4 Cu 2.85

Calculated values
final energy: -10.43 eV/cell
SG: F-43m, No. 216
DFT formation energy: -3.6 kJ per mole of atoms

***

# 12
## Mg4ZnGa3 (PBE-GGA)

Data for a geometry-optimized Mg4ZnGa3 structure.

abc: 4.9245 6.3095 9.7605
angles: 90.00 90.00 90.00
Last column: nearest neighbours and their distance in Å.
Sites, in units of the cell vectors:
Ga  0.0000  0.0000  0.5000  8 Mg 2.93-2.95, 2 Ga 3.15, 2 Zn 3.15
Zn  0.0000  0.5000  0.0000  8 Mg 2.92-2.93, 4 Ga 3.14-3.15
Mg  0.0908  0.2524  0.7500  6 Ga 2.89-2.96, 2 Zn 2.93, 4 Mg 3.12-3.18
Zn  0.0000  0.5000  0.5000  8 Mg 2.92-2.93, 4 Ga 3.14-3.15
Mg  0.9092  0.2524  0.2500  6 Ga 2.89-2.96, 2 Zn 2.93, 4 Mg 3.12-3.18
Ga  0.5973  0.5000  0.7500  8 Mg 2.89-2.94, 2 Zn 3.14, 2 Ga 3.15
Mg  0.5000  0.7483  0.0000  2 Zn 2.92, 6 Ga 2.93-2.95, 4 Mg 3.13-3.18
Ga  0.5971  0.0000  0.7500  8 Mg 2.91-2.96, 4 Ga 3.15
Mg  0.5000  0.2517  0.5000  2 Zn 2.92, 6 Ga 2.93-2.95, 4 Mg 3.13-3.18
Mg  0.5000  0.7483  0.5000  2 Zn 2.92, 6 Ga 2.93-2.95, 4 Mg 3.13-3.18
Mg  0.0908  0.7476  0.7500  6 Ga 2.89-2.96, 2 Zn 2.93, 4 Mg 3.12-3.18
Mg  0.9092  0.7476  0.2500  6 Ga 2.89-2.96, 2 Zn 2.93, 4 Mg 3.12-3.18
Ga  0.0000  0.0000  0.0000  8 Mg 2.93-2.95, 2 Ga 3.15, 2 Zn 3.15
Mg  0.5000  0.2517  0.0000  2 Zn 2.92, 6 Ga 2.93-2.95, 4 Mg 3.13-3.18
Ga  0.4029  0.0000  0.2500  8 Mg 2.91-2.96, 4 Ga 3.15
Ga  0.4027  0.5000  0.2500  8 Mg 2.89-2.94, 2 Zn 3.14, 2 Ga 3.15

Calculated values
final energy: -35.29 eV/cell
SG: Pmma, No. 51
DFT formation energy: -11.0 kJ per mole of atoms

***

| no. | D(E_F) (states/eV per atom) |
| --- | --- |
| 1 | 0.7076 |
| 2 | 0.6462 |
| 3 | 1.4514 |
| 4 | 0.0000 |
| 5 | 4.2253 |
| 6 | 0.9062 |
| 7 | 0.4750 |
| 8 | 1.1409 |
| 9 | 0.3024 |
| 10 | 0.5517 |
| 11 | 1.1550 |
| 12 | 0.2366 |